1.
The following is a DFT calculation (GGA-PBE) of an optimized crystal structure of PmEuYTm.

The value obtained for the formation enthalpy at 0 K is 0.59 eV per formula unit. For the electronic total energy, the calculation gives -6.3438 eV/atom.

The space group is F-43m (No. 216) and the conventional cell measures 8.155, 8.155 and 8.155 Å, with angles of 90.00, 90.00 and 90.00 degrees. The distinct sites, in fractional coordinates, are Pm at (0.000, 0.000, 0.000), Eu at (0.000, 0.000, 0.500), Y at (0.250, 0.250, 0.250) and Tm at (0.250, 0.250, 0.750).


2.
The following is a DFT calculation (GGA-PBE) of an optimized crystal structure of Al3CoBr.

Its energy relative to the elements, uncorrected is -0.1382 eV/atom. For the electronic total energy, the calculation gives -4.1395 eV/atom. The calculation puts the distance to the lowest polymorph of the same formula at 0 meV/atom.

The space group is Pm-3m (No. 221) and the conventional cell measures 4.629, 4.629 and 4.629 Å, with angles of 90.00, 90.00 and 90.00 degrees. The distinct sites, in fractional coordinates, are Al at (0.000, 0.000, 0.500), Co at (0.000, 0.000, 0.000) and Br at (0.500, 0.500, 0.500).


3.
The following is a DFT calculation (GGA-PBE) of an optimized crystal structure of BaCuC2Se.

Its energy relative to the elements, uncorrected is 1.5286 eV/atom. For the electronic total energy, the calculation gives -4.0616 eV/atom.

The space group is P4/mmm (No. 123) and the conventional cell measures 4.143, 4.143 and 6.406 Å, with angles of 90.00, 90.00 and 90.00 degrees. The distinct sites, in fractional coordinates, are Ba at (0.000, 0.000, 0.000), Cu at (0.000, 0.000, 0.500), C at (0.000, 0.500, 0.500) and Se at (0.500, 0.500, 0.000).


4.
The following is a DFT calculation (GGA-PBE) of an optimized crystal structure of MgTaAu.

The value obtained for the formation enthalpy at 0 K is -0.14 eV per formula unit. For the electronic total energy, the calculation gives -5.6231 eV/atom. The calculation puts the distance to the lowest polymorph of the same formula at 149 meV/atom.

The space group is Cm (No. 8) and the conventional cell measures 11.163, 3.019 and 7.969 Å, with angles of 90.00, 123.01 and 90.00 degrees. The distinct sites, in fractional coordinates, are Mg at (0.000, 0.000, 0.000), Mg at (0.248, 0.000, 0.622), Ta at (0.228, 0.500, 0.958), Ta at (0.432, 0.000, 0.284), Au at (0.205, 0.500, 0.305) and Au at (0.497, 0.500, 0.644).


5.
The following is a DFT calculation (GGA-PBE) of an optimized crystal structure of MoBr.

Its energy relative to the elements, uncorrected is 0.0519 eV/atom. For the electronic total energy, the calculation gives -6.2001 eV/atom. The calculation puts the distance to the lowest polymorph of the same formula at 126 meV/atom.

The space group is P2_12_12_1 (No. 19) and the conventional cell measures 3.809, 9.231 and 10.320 Å, with angles of 90.00, 90.00 and 90.00 degrees. The distinct sites, in fractional coordinates, are Mo at (0.011, 0.202, 0.324), Mo at (0.066, 0.161, 0.570), Br at (0.219, 0.104, 0.076) and Br at (0.238, 0.571, 0.700).


6.
The following is a DFT calculation (GGA-PBE) of an optimized crystal structure of Co2ReRh.

The value obtained for the formation enthalpy at 0 K is 0.13 eV per formula unit. For the electronic total energy, the calculation gives -8.4705 eV/atom. The calculation puts the distance to the lowest polymorph of the same formula at 7 meV/atom.

The space group is P4mm (No. 99) and the conventional cell measures 2.673, 2.673 and 7.150 Å, with angles of 90.00, 90.00 and 90.00 degrees. The distinct sites, in fractional coordinates, are Co at (0.000, 0.000, 0.000), Co at (0.500, 0.500, 0.222), Re at (0.000, 0.000, 0.470) and Rh at (0.500, 0.500, 0.743).


7.
The following is a DFT calculation (GGA-PBE) of an optimized crystal structure of LaAgTe2.

Its energy relative to the elements, uncorrected is -1.0489 eV/atom. For the electronic total energy, the calculation gives -4.5644 eV/atom.

The space group is P2_1/c (No. 14) and the conventional cell measures 7.423, 8.245 and 7.997 Å, with angles of 90.00, 96.53 and 90.00 degrees. The distinct sites, in fractional coordinates, are La at (0.198, 0.041, 0.299), Ag at (0.430, 0.665, 0.461), Te at (0.066, 0.726, 0.501) and Te at (0.388, 0.103, 0.710).


8.
The following is a DFT calculation (GGA-PBE) of an optimized crystal structure of AcNdMgSb.

Its energy relative to the elements, uncorrected is -0.4255 eV/atom. For the electronic total energy, the calculation gives -4.0738 eV/atom.

The space group is F-43m (No. 216) and the conventional cell measures 7.969, 7.969 and 7.969 Å, with angles of 90.00, 90.00 and 90.00 degrees. The distinct sites, in fractional coordinates, are Ac at (0.000, 0.000, 0.000), Nd at (0.000, 0.000, 0.500), Mg at (0.250, 0.250, 0.250) and Sb at (0.250, 0.250, 0.750).


9.
The following is a DFT calculation (GGA-PBE) of an optimized crystal structure of YHf3Ge.

The value obtained for the formation enthalpy at 0 K is 8.44 eV per formula unit. For the electronic total energy, the calculation gives -6.4995 eV/atom. The calculation puts the distance to the lowest polymorph of the same formula at 1439 meV/atom.

The space group is Pm-3m (No. 221) and the conventional cell measures 5.161, 5.161 and 5.161 Å, with angles of 90.00, 90.00 and 90.00 degrees. The distinct sites, in fractional coordinates, are Y at (0.000, 0.000, 0.000), Hf at (0.000, 0.000, 0.500) and Ge at (0.500, 0.500, 0.500).


10.
The following is a DFT calculation (GGA-PBE) of an optimized crystal structure of Zr7As2P2.

The value obtained for the formation enthalpy at 0 K is -11.71 eV per formula unit. For the electronic total energy, the calculation gives -8.3336 eV/atom.

The space group is Imm2 (No. 44) and the conventional cell measures 3.661, 14.102 and 8.377 Å, with angles of 90.00, 90.00 and 90.00 degrees. The distinct sites, in fractional coordinates, are Zr at (0.000, 0.000, 0.000), Zr at (0.000, 0.117, 0.407), Zr at (0.000, 0.322, 0.617), Zr at (0.000, 0.352, 0.235), As at (0.000, 0.000, 0.670), As at (0.000, 0.500, 0.754) and P at (0.000, 0.245, 0.920).


11.
The following is a DFT calculation (GGA-PBE) of an optimized crystal structure of Tb5Sm12Er2.

The value obtained for the formation enthalpy at 0 K is 2.51 eV per formula unit. For the electronic total energy, the calculation gives -4.5473 eV/atom. The calculation puts the distance to the lowest polymorph of the same formula at 11 meV/atom.

The space group is C2/m (No. 12) and the conventional cell measures 15.406, 10.419 and 7.977 Å, with angles of 90.00, 92.59 and 90.00 degrees. The distinct sites, in fractional coordinates, are Tb at (0.000, 0.000, 0.000), Tb at (0.153, 0.500, 0.587), Tb at (0.244, 0.000, 0.986), Sm at (0.052, 0.500, 0.209), Sm at (0.106, 0.274, 0.888), Sm at (0.140, 0.000, 0.612), Sm at (0.190, 0.230, 0.294) and Er at (0.000, 0.259, 0.500).


12.
The following is a DFT calculation (GGA-PBE) of an optimized crystal structure of ThScTe2N.

Its energy relative to the elements, uncorrected is -1.4662 eV/atom. For the electronic total energy, the calculation gives -7.1382 eV/atom.

The space group is P4/nmm (No. 129, origin choice 2) and the conventional cell measures 4.152, 4.152 and 15.130 Å, with angles of 90.00, 90.00 and 90.00 degrees. The distinct sites, in fractional coordinates, are Th at (0.250, 0.250, 0.075), Sc at (0.250, 0.250, 0.615), Te at (0.250, 0.250, 0.411), Te at (0.250, 0.250, 0.796) and N at (0.250, 0.750, 0.000).


13.
The following is a DFT calculation (GGA-PBE) of an optimized crystal structure of Pa2MnTl.

The value obtained for the formation enthalpy at 0 K is 0.53 eV per formula unit. For the electronic total energy, the calculation gives -7.4989 eV/atom. The calculation puts the distance to the lowest polymorph of the same formula at 139 meV/atom.

The space group is R-3m (No. 166, hexagonal axes) and the conventional cell measures 3.7602, 3.7602 and 24.4362 Å, with angles of 90.00, 90.00 and 120.00 degrees. The distinct sites, in fractional coordinates, are Pa at (0.0000, 0.0000, 0.2254), Mn at (0.0000, 0.0000, 0.5000) and Tl at (0.0000, 0.0000, 0.0000).